Run i
The following is a DFT calculation (PBE) of a relaxed structure of Zn6Ni2Rh.

```
Zn6Ni2Rh
1.0
6.433 -2.892 0.000
6.433 2.892 0.000
-1.241 0.000 3.855
Zn Ni Rh
6 2 1
Cartesian
3.836 1.471 1.266
6.433 1.526 0.000
7.790 1.471 2.589
3.836 -1.471 1.266
6.433 -1.526 0.000
7.790 -1.471 2.589
1.951 0.000 0.653
9.675 0.000 3.202
5.813 0.000 1.928
```

Summary:
As for the density of states at the Fermi level: 0.37 states/eV/atom. As for the space group: C2/m, No. 12. As for the crystal system: monoclinic.

---

Run ii
The following is a DFT calculation (PBE) of a relaxed structure of Zn6Ni2Rh.

```
Zn6Ni2Rh
1.0
4.194 0.000 0.000
-2.097 3.632 0.000
0.000 0.000 7.918
Zn Ni Rh
6 2 1
Cartesian
0.000 0.000 1.432
0.000 0.000 6.486
0.000 2.421 0.468
0.000 2.421 3.121
2.097 1.211 4.797
2.097 1.211 7.450
0.000 2.421 5.793
2.097 1.211 2.125
0.000 0.000 3.959
```

Summary:
As for the density of states at the Fermi level: 0.44 states/eV/atom. As for the space group: P-3m1, No. 164. As for the crystal system: trigonal.

---

Order from most stable to least stable according to the calculation: run ii, run i

---

Run i
The following is a DFT calculation (PBE) of a relaxed structure of Zr3NiRh.

```
Zr3NiRh
1.0
4.774 0.000 0.000
0.000 4.774 0.000
0.000 0.000 4.774
Zr Ni Rh
3 1 1
Cartesian
0.000 0.000 2.387
0.000 2.387 0.000
2.387 0.000 0.000
0.000 0.000 0.000
2.387 2.387 2.387
```

Summary:
As for the density of states at the Fermi level: 1.55 states/eV/atom. As for the space group: Pm-3m, No. 221. As for the crystal system: cubic.

---

Run ii
The following is a DFT calculation (PBE) of a relaxed structure of Zr3NiRh.

```
Zr3NiRh
1.0
4.605 -2.880 0.000
4.605 2.880 0.000
-3.408 0.000 7.205
Zr Ni Rh
6 2 2
Cartesian
-0.746 0.000 1.674
0.518 0.000 4.688
2.301 0.000 1.082
3.500 0.000 6.123
5.283 0.000 2.516
6.547 0.000 5.531
4.605 1.162 0.000
4.605 -1.162 0.000
2.901 1.354 3.602
2.901 -1.354 3.602
```

Summary:
As for the density of states at the Fermi level: 1.08 states/eV/atom. As for the space group: C2/m, No. 12. As for the crystal system: monoclinic.

---

Order from most stable to least stable according to the calculation: run ii, run i

---

Run i
The following is a DFT calculation (PBE) of a relaxed structure of ZrNiRh.

```
ZrNiRh
1.0
4.188 0.000 0.000
-2.094 3.627 0.000
0.000 0.000 3.219
Zr Ni Rh
1 1 1
Cartesian
0.000 0.000 0.000
2.094 1.209 1.610
0.000 2.418 1.610
```

Summary:
As for the density of states at the Fermi level: 1.39 states/eV/atom. As for the space group: P-6m2, No. 187. As for the crystal system: hexagonal.

---

Run ii
The following is a DFT calculation (PBE) of a relaxed structure of ZrNiRh.

```
ZrNiRh
1.0
11.566 0.000 0.000
0.000 3.654 0.000
0.000 0.000 6.741
Zr Ni Rh
6 6 6
Cartesian
0.579 0.000 1.636
2.892 0.000 4.513
5.204 0.000 1.636
6.362 0.000 5.105
8.675 0.000 2.228
10.987 0.000 5.105
1.077 1.827 3.778
2.892 0.000 0.396
4.706 1.827 3.778
6.860 1.827 2.963
8.675 0.000 6.345
10.489 1.827 2.963
1.385 1.827 6.338
2.892 1.827 2.056
4.398 1.827 6.338
7.169 1.827 0.403
8.675 1.827 4.686
10.181 1.827 0.403
```

Summary:
As for the density of states at the Fermi level: 0.79 states/eV/atom. As for the space group: Pmma, No. 51. As for the crystal system: orthorhombic.

---

Order from most stable to least stable according to the calculation: run ii, run i

---

Run i
The following is a DFT calculation (PBE) of a relaxed structure of ZrNiRh.

```
ZrNiRh
1.0
3.288 0.000 0.000
0.000 3.288 0.000
0.000 0.000 8.719
Zr Ni Rh
2 2 2
Cartesian
0.000 0.000 0.000
1.644 1.644 4.359
0.000 0.000 2.966
1.644 1.644 7.326
0.000 0.000 5.844
1.644 1.644 1.484
```

Summary:
As for the density of states at the Fermi level: 1.25 states/eV/atom. As for the space group: I4mm, No. 107. As for the crystal system: tetragonal.

---

Run ii
The following is a DFT calculation (PBE) of a relaxed structure of ZrNiRh.

```
ZrNiRh
1.0
3.823 0.000 0.000
0.000 3.448 0.000
-0.007 0.000 3.964
Zr Ni Rh
1 1 1
Cartesian
0.000 0.000 0.000
-0.003 1.724 1.982
1.908 0.000 1.982
```

Summary:
As for the density of states at the Fermi level: 0.70 states/eV/atom. As for the space group: P2/m, No. 10. As for the crystal system: monoclinic.

---

Order from most stable to least stable according to the calculation: run i, run ii

---

Run i
The following is a DFT calculation (PBE) of a relaxed structure of ZrNiRh.

```
ZrNiRh
1.0
2.077 1.199 6.662
-2.077 1.199 6.662
0.000 -2.399 6.662
Zr Ni Rh
2 2 2
Cartesian
0.000 0.000 0.000
0.000 0.000 9.369
0.000 0.000 11.955
0.000 0.000 17.328
0.000 0.000 4.943
0.000 0.000 14.680
```

Summary:
As for the density of states at the Fermi level: 0.76 states/eV/atom. As for the space group: R3m, No. 160. As for the crystal system: trigonal.

---

Run ii
The following is a DFT calculation (PBE) of a relaxed structure of ZrNiRh.

```
ZrNiRh
1.0
5.931 0.000 0.000
0.000 5.931 0.000
0.000 0.000 5.931
Zr Ni Rh
4 4 4
Cartesian
0.000 0.000 0.000
0.000 2.965 2.965
2.965 0.000 2.965
2.965 2.965 0.000
1.483 1.483 1.483
1.483 4.448 4.448
4.448 1.483 4.448
4.448 4.448 1.483
0.000 0.000 2.965
0.000 2.965 0.000
2.965 0.000 0.000
2.965 2.965 2.965
```

Summary:
As for the density of states at the Fermi level: 0.47 states/eV/atom. As for the space group: F-43m, No. 216. As for the crystal system: cubic.

---

Order from most stable to least stable according to the calculation: run i, run ii

---

Run i
The following is a DFT calculation (PBE) of a relaxed structure of Ni4Ru.

```
Ni4Ru
1.0
2.557 0.000 0.000
0.000 3.581 0.000
0.000 0.000 12.574
Ni Ru
8 2
Cartesian
0.000 0.000 1.281
0.000 0.000 3.763
0.000 0.000 8.810
0.000 0.000 11.293
1.279 1.790 2.523
1.279 1.790 5.006
1.279 1.790 7.568
1.279 1.790 10.050
0.000 0.000 6.287
1.279 1.790 0.000
```

Summary:
As for the density of states at the Fermi level: 1.60 states/eV/atom. As for the space group: Immm, No. 71. As for the crystal system: orthorhombic.

---

Run ii
The following is a DFT calculation (PBE) of a relaxed structure of Ni4Ru.

```
Ni4Ru
1.0
5.677 0.000 0.000
0.000 5.677 0.000
0.000 0.000 3.558
Ni Ru
8 2
Cartesian
0.581 1.706 0.000
1.132 3.419 1.779
1.706 5.096 0.000
2.258 1.132 1.779
3.419 4.544 1.779
3.971 0.581 0.000
4.544 2.258 1.779
5.096 3.971 0.000
0.000 0.000 1.779
2.838 2.838 0.000
```

Summary:
As for the density of states at the Fermi level: 1.57 states/eV/atom. As for the space group: I4/m, No. 87. As for the crystal system: tetragonal.

---

Order from most stable to least stable according to the calculation: run ii, run i